1.
Na5UTe5, relaxed, DFT PBE; formation energy (no corrections) = -0.819 eV/atom; uncorrected energy = -42.60 eV per formula unit; DOS at the Fermi energy = 0.15 states/eV/atom; calculated volume = 389.3 Å³/f.u.
1.0
6.127 0.000 0.000
-3.064 7.499 0.015
0.000 -2.794 8.466
Na U Te
5 1 5
Direct
0.694 0.387 0.324
0.686 0.372 0.863
0.000 0.000 0.500
0.314 0.628 0.137
0.306 0.613 0.676
0.000 0.000 0.000
0.858 0.715 0.172
0.847 0.694 0.686
0.500 0.000 0.000
0.153 0.306 0.314
0.142 0.285 0.828

2.
Na3Y2UTe6, relaxed, DFT PBE; formation energy (no corrections) = -1.131 eV/atom; uncorrected energy = -60.60 eV per formula unit; DOS at the Fermi energy = 0.64 states/eV/atom; calculated volume = 388.9 Å³/f.u.
1.0
7.704 0.001 0.002
-3.849 6.673 0.002
-1.283 -2.222 7.564
Na Y U Te
3 2 1 6
Direct
0.166 0.834 0.500
0.834 0.166 0.500
0.500 0.500 0.500
0.334 0.666 0.000
0.666 0.334 0.000
0.000 0.000 0.000
0.922 0.585 0.766
0.741 0.741 0.234
0.078 0.415 0.234
0.585 0.922 0.766
0.259 0.259 0.766
0.415 0.078 0.234

3.
Na4Y3UTe8, relaxed, DFT PBE; formation energy (no corrections) = -1.180 eV/atom; uncorrected energy = -79.97 eV per formula unit; DOS at the Fermi energy = 0.67 states/eV/atom; calculated volume = 516.4 Å³/f.u.
1.0
8.872 0.000 0.000
0.000 9.146 0.185
-4.436 -4.432 6.275
Na Y U Te
4 3 1 8
Direct
0.500 0.000 0.000
0.500 0.000 0.500
0.000 0.000 0.000
0.000 0.000 0.500
0.500 0.500 0.000
0.500 0.500 0.500
0.000 0.500 0.500
0.000 0.500 0.000
0.246 0.734 0.988
0.246 0.734 0.492
0.256 0.267 0.512
0.742 0.734 0.988
0.258 0.266 0.012
0.744 0.733 0.488
0.754 0.266 0.508
0.754 0.266 0.012

4.
Na2YUTe4, relaxed, DFT PBE; formation energy (no corrections) = -1.038 eV/atom; uncorrected energy = -41.26 eV per formula unit; DOS at the Fermi energy = 1.08 states/eV/atom; calculated volume = 258.4 Å³/f.u.
1.0
-4.392 -0.238 -0.536
1.017 -3.019 -6.987
-0.329 -5.963 5.348
Na Y U Te
2 1 1 4
Direct
0.500 0.000 0.500
0.000 0.500 0.500
0.000 0.000 0.000
0.500 0.500 0.000
0.500 0.242 0.234
0.500 0.758 0.766
0.000 0.252 0.765
0.000 0.748 0.235

5.
Na2UZnTe4, relaxed, DFT PBE; formation energy (no corrections) = -0.589 eV/atom; uncorrected energy = -32.48 eV per formula unit; DOS at the Fermi energy = 0.54 states/eV/atom; calculated volume = 226.5 Å³/f.u.
1.0
7.361 0.000 0.000
3.681 5.547 0.000
3.681 0.000 5.547
Na U Zn Te
2 1 1 4
Direct
0.000 0.500 0.500
0.500 0.500 0.500
0.000 0.000 0.000
0.500 0.000 0.000
0.090 0.395 0.000
0.910 0.000 0.605
0.516 0.000 0.395
0.484 0.605 0.000

6.
Na3ZrU2Te6, relaxed, DFT PBE; formation energy (no corrections) = -0.818 eV/atom; uncorrected energy = -63.74 eV per formula unit; DOS at the Fermi energy = 0.83 states/eV/atom; calculated volume = 371.7 Å³/f.u.
1.0
-4.831 4.400 3.579
-2.494 -5.347 -4.550
2.304 -4.655 6.244
Na Zr U Te
3 1 2 6
Direct
0.170 0.830 0.500
0.830 0.170 0.500
0.500 0.500 0.500
0.000 0.000 0.000
0.334 0.666 0.000
0.666 0.334 0.000
0.922 0.601 0.767
0.757 0.757 0.234
0.078 0.399 0.233
0.601 0.922 0.767
0.243 0.243 0.766
0.399 0.078 0.233

7.
Na2Zr2UTe6, relaxed, DFT PBE; formation energy (no corrections) = -0.857 eV/atom; uncorrected energy = -59.30 eV per formula unit; DOS at the Fermi energy = 0.71 states/eV/atom; calculated volume = 352.6 Å³/f.u.
1.0
7.211 -0.032 0.078
-3.592 6.253 0.078
-1.269 -2.182 7.785
Na Zr U Te
2 2 1 6
Direct
0.838 0.162 0.000
0.162 0.838 0.000
0.332 0.668 0.500
0.668 0.332 0.500
0.000 0.000 0.500
0.725 0.725 0.727
0.078 0.420 0.729
0.275 0.275 0.273
0.420 0.078 0.729
0.922 0.580 0.271
0.580 0.922 0.271

8.
Na3Zr3UTe8, relaxed, DFT PBE; formation energy (no corrections) = -0.871 eV/atom; uncorrected energy = -79.09 eV per formula unit; DOS at the Fermi energy = 0.54 states/eV/atom; calculated volume = 460.9 Å³/f.u.
1.0
8.248 0.000 0.000
-4.124 7.141 -0.031
0.000 -4.731 7.846
Na Zr U Te
3 3 1 8
Direct
0.000 0.000 0.000
0.000 0.500 0.000
0.500 0.500 0.000
0.500 0.000 0.500
0.500 0.500 0.500
0.000 0.500 0.500
0.000 0.000 0.500
0.258 0.516 0.275
0.742 0.484 0.725
0.749 0.498 0.269
0.251 0.502 0.731
0.749 0.020 0.269
0.251 0.980 0.731
0.271 0.020 0.269
0.729 0.980 0.731

9.
NaV4Te8, relaxed, DFT PBE; formation energy (no corrections) = -0.310 eV/atom; uncorrected energy = -66.96 eV per formula unit; DOS at the Fermi energy = 0.62 states/eV/atom; calculated volume = 358.3 Å³/f.u.; relative energy among the computed polymorphs = 0.0706 eV/atom
1.0
7.972 0.000 0.000
3.986 6.904 0.000
3.986 2.301 6.509
Na V Te
1 4 8
Direct
0.750 0.750 0.750
0.923 0.359 0.359
0.359 0.923 0.359
0.359 0.359 0.923
0.359 0.359 0.359
0.637 0.121 0.121
0.121 0.637 0.121
0.121 0.121 0.637
0.121 0.121 0.121
0.182 0.606 0.606
0.606 0.182 0.606
0.606 0.606 0.182
0.606 0.606 0.606

10.
NaV5Te8, relaxed, DFT PBE; formation energy (no corrections) = -0.362 eV/atom; uncorrected energy = -77.11 eV per formula unit; DOS at the Fermi energy = 0.58 states/eV/atom; calculated volume = 366.3 Å³/f.u.
1.0
3.872 0.000 -0.757
-0.498 9.005 -2.548
0.043 -0.011 10.500
Na V Te
1 5 8
Direct
0.471 0.485 0.942
0.295 0.665 0.590
0.716 0.350 0.431
0.343 0.013 0.686
0.647 0.984 0.294
0.013 0.996 0.025
0.238 0.154 0.476
0.757 0.843 0.515
0.168 0.495 0.336
0.842 0.513 0.684
0.082 0.793 0.165
0.922 0.182 0.843
0.429 0.843 0.859
0.577 0.184 0.153

11.
Na3VTe, relaxed, DFT PBE; formation energy (no corrections) = 0.714 eV/atom; uncorrected energy = -12.65 eV per formula unit; DOS at the Fermi energy = 2.16 states/eV/atom; calculated volume = 179.4 Å³/f.u.; relative energy among the computed polymorphs = 0.3078 eV/atom
1.0
5.640 0.000 0.000
0.000 5.640 0.000
0.000 0.000 5.640
Na Te V
3 1 1
Direct
0.000 0.500 0.000
0.000 0.000 0.500
0.500 0.000 0.000
0.500 0.500 0.500
0.000 0.000 0.000

12.
NaVTe4, relaxed, DFT PBE; formation energy (no corrections) = -0.276 eV/atom; uncorrected energy = -24.66 eV per formula unit; DOS at the Fermi energy = 0.21 states/eV/atom; calculated volume = 173.9 Å³/f.u.
1.0
6.262 0.042 1.147
2.525 6.876 4.120
0.157 0.158 8.211
Na V Te
2 2 8
Direct
0.750 0.362 0.276
0.250 0.638 0.724
0.250 0.000 0.000
0.750 0.000 0.000
0.860 0.344 0.860
0.043 0.066 0.693
0.640 0.795 0.860
0.457 0.241 0.693
0.543 0.759 0.307
0.360 0.205 0.140
0.957 0.934 0.307
0.140 0.656 0.140